This record from Alexandria via LeMat-Bulk describes an optimized crystal structure of Ba3CaI6Cl2. The functional is PBE-GGA.

Properties
- total magnetic moment (μB per atom) = 0.00
- formation energy without anion corrections (eV/atom) = -1.88

Lattice parameters (Å, degrees): 16.6877 9.6569 7.3245 90.00 99.28 90.00
Space group C2/m (No. 12)
One atom of each set of equivalent atoms:
Ba1 0.0000 0.0000 0.0000 [2 per cell]
Ba2 0.2500 0.2500 0.5000 [4 per cell]
Ca1 0.0000 0.5000 0.5000 [2 per cell]
I1 0.0901 0.2583 0.7528 [8 per cell]
I2 0.1344 0.5000 0.2490 [4 per cell]
Cl1 0.1620 0.0000 0.2835 [4 per cell]